#i
# KNaBiPd

A relaxed structure of KNaBiPd (PBE-GGA, the Alexandria database).

a b c (Å): 5.2382 5.2382 5.2382
angles (deg): 60.00 60.00 60.00
With the nearest neighbours (Å) after each atom.
Element x y z (fractional)
Na  0.0000  0.0000  0.0000  4 Bi 3.21, 4 K 3.21
K  0.2500  0.2500  0.2500  4 Na 3.21, 4 Pd 3.21
Bi  0.7500  0.7500  0.7500  4 Pd 3.21, 4 Na 3.21
Pd  0.5000  0.5000  0.5000  4 K 3.21, 4 Bi 3.21


#ii
# KNaBiPd

A relaxed structure of KNaBiPd (PBE-GGA, the Alexandria database).

a b c (Å): 4.8311 4.8311 6.8925
angles (deg): 69.48 69.48 60.00
With the nearest neighbours (Å) after each atom.
Element x y z (fractional)
K  0.8181  0.8181  0.5456  4 Bi 3.60-4.03, 3 Pd 3.73, 4 Na 3.74-3.81
Na  0.0199  0.0199  0.9403  3 Pd 3.09, 3 Bi 3.18
Bi  0.6052  0.6052  0.1843  3 Pd 2.80
Pd  0.2826  0.2826  0.1522  3 Bi 2.80, 3 Na 3.09


Relative to the most stable one, in meV/atom, the structures come out at #i 131; #ii 0.